Here is Dy12Be3O5 after structural relaxation from the Alexandria database. Energies are from PBE.

## Properties
- Raw formation energy: -1.364 eV/atom
- Raw total energy: -5.924 eV/atom

The structure in CIF format:
```
data_Dy12Be3O5
_chemical_formula_sum 'Dy96 Be24 O40'
_symmetry_space_group_name_H-M 'I a -3 d'
_symmetry_Int_Tables_number 230
_symmetry_space_group_name_Hall '-I 4bd 2c 3'
_cell_length_a 15.0580
_cell_length_b 15.0580
_cell_length_c 15.0580
_cell_angle_alpha 90.00
_cell_angle_beta 90.00
_cell_angle_gamma 90.00
loop_
_atom_site_label
_atom_site_type_symbol
_atom_site_fract_x
_atom_site_fract_y
_atom_site_fract_z
Dy1 Dy 0.0347 0.0559 0.6505
Be1 Be 0.0000 0.2500 0.1250
O1 O 0.0000 0.0000 0.0000
O2 O 0.0000 0.2500 0.3750
```